<1>
# CsLiW2 (PBE, optimized geometry)
# N(E_F) ... 0.80 states/eV per atom
data_CsLiW2
_chemical_formula_sum 'Cs1 Li1 W2'
_cell_length_a 4.664
_cell_length_b 4.664
_cell_length_c 4.664
_cell_angle_alpha 60.00
_cell_angle_beta 60.00
_cell_angle_gamma 60.00
_space_group_name_H-M_alt 'P 1'
_space_group_IT_number 1
loop_
_space_group_symop_operation_xyz
'x,y,z'
loop_
_atom_site_label
_atom_site_fract_x
_atom_site_fract_y
_atom_site_fract_z
Cs1 0.000 0.000 0.000
Li1 0.500 0.500 0.500
W1 0.250 0.250 0.250
W2 0.750 0.750 0.750

<2>
# CsLiW2 (PBE, optimized geometry)
# N(E_F) ... 0.83 states/eV per atom
data_CsLiW2
_chemical_formula_sum 'Cs2 Li2 W4'
_cell_length_a 12.073
_cell_length_b 12.073
_cell_length_c 12.073
_cell_angle_alpha 161.70
_cell_angle_beta 161.70
_cell_angle_gamma 25.99
_space_group_name_H-M_alt 'P 1'
_space_group_IT_number 1
loop_
_space_group_symop_operation_xyz
'x,y,z'
loop_
_atom_site_label
_atom_site_fract_x
_atom_site_fract_y
_atom_site_fract_z
Cs1 0.000 0.000 0.000
Cs2 0.750 0.250 0.500
Li1 0.250 0.750 0.500
Li2 0.500 0.500 0.000
W1 0.154 0.625 0.029
W2 0.375 0.404 0.529
W3 0.596 0.125 0.971
W4 0.875 0.846 0.471

Quick one: most stable of them? <2>

<1>
# CsLi3Y (PBE, optimized geometry)
# N(E_F) ... 1.52 states/eV per atom
data_CsLi3Y
_chemical_formula_sum 'Cs1 Li3 Y1'
_cell_length_a 6.297
_cell_length_b 6.297
_cell_length_c 6.297
_cell_angle_alpha 90.00
_cell_angle_beta 90.00
_cell_angle_gamma 90.00
_space_group_name_H-M_alt 'P 1'
_space_group_IT_number 1
loop_
_space_group_symop_operation_xyz
'x,y,z'
loop_
_atom_site_label
_atom_site_fract_x
_atom_site_fract_y
_atom_site_fract_z
Cs1 0.000 0.000 0.000
Li1 0.000 0.500 0.500
Li2 0.500 0.000 0.500
Li3 0.500 0.500 0.000
Y1 0.500 0.500 0.500

<2>
# CsLi3Y (PBE, optimized geometry)
# N(E_F) ... 0.43 states/eV per atom
data_CsLi3Y
_chemical_formula_sum 'Cs1 Li3 Y1'
_cell_length_a 5.434
_cell_length_b 5.434
_cell_length_c 5.434
_cell_angle_alpha 90.00
_cell_angle_beta 90.00
_cell_angle_gamma 90.00
_space_group_name_H-M_alt 'P 1'
_space_group_IT_number 1
loop_
_space_group_symop_operation_xyz
'x,y,z'
loop_
_atom_site_label
_atom_site_fract_x
_atom_site_fract_y
_atom_site_fract_z
Cs1 0.000 0.000 0.000
Li1 0.000 0.000 0.500
Li2 0.000 0.500 0.000
Li3 0.500 0.000 0.000
Y1 0.500 0.500 0.500

Quick one: most stable of them? <1>